Entry P
VASP calculation (SCAN) on a PBEsol-optimized structure of OsRh3S.

Lattice parameters (Å, degrees): 4.623 4.623 4.623 90.00 90.00 90.00
Fractional positions:
Os1 0.000 0.000 0.000
Rh1 0.000 0.000 0.500
Rh2 0.000 0.500 0.000
Rh3 0.500 0.000 0.000
S1 0.500 0.500 0.500

Calculated values
Density of states at the Fermi level, states/eV/f.u.: 5.6
SG: Pm-3m

---

Entry Q
VASP calculation (SCAN) on a PBEsol-optimized structure of OsRh3S.

Lattice parameters (Å, degrees): 4.257 4.257 4.257 90.00 90.00 90.00
Fractional positions:
Os1 0.000 0.000 0.000
Rh1 0.000 0.500 0.500
Rh2 0.500 0.000 0.500
Rh3 0.500 0.500 0.000
S1 0.500 0.500 0.500

Calculated values
Density of states at the Fermi level, states/eV/f.u.: 6.7
SG: Pm-3m

---

The energy of each structure relative to the most stable one, in meV per atom, is as follows: entry P 712; entry Q 0.

---

Entry P
VASP calculation (SCAN) on a PBEsol-optimized structure of Sb2OsRh.

Lattice parameters (Å, degrees): 6.312 6.671 3.276 90.00 90.00 90.00
Fractional positions:
Sb1 0.250 0.250 0.000
Sb2 0.250 0.750 0.000
Sb3 0.750 0.250 0.000
Sb4 0.750 0.750 0.000
Os1 0.000 0.000 0.500
Os2 0.500 0.500 0.500
Rh1 0.000 0.500 0.500
Rh2 0.500 0.000 0.500

Calculated values
Density of states at the Fermi level, states/eV/f.u.: 3.4
SG: Cmmm

---

Entry Q
VASP calculation (SCAN) on a PBEsol-optimized structure of Sb2OsRh.

Lattice parameters (Å, degrees): 4.198 3.222 10.419 90.00 90.00 90.00
Fractional positions:
Sb1 0.000 0.000 0.000
Sb2 0.000 0.500 0.500
Sb3 0.500 0.000 0.296
Sb4 0.500 0.500 0.796
Os1 0.000 0.000 0.733
Os2 0.000 0.500 0.233
Rh1 0.500 0.000 0.553
Rh2 0.500 0.500 0.053

Calculated values
Density of states at the Fermi level, states/eV/f.u.: 2.3
SG: Amm2

---

Entry R
VASP calculation (SCAN) on a PBEsol-optimized structure of Sb2OsRh.

Lattice parameters (Å, degrees): 3.054 3.054 29.583 90.00 90.00 120.00
Fractional positions:
Sb1 0.000 0.000 0.000
Sb2 0.000 0.000 0.208
Sb3 0.333 0.667 0.667
Sb4 0.333 0.667 0.875
Sb5 0.667 0.333 0.333
Sb6 0.667 0.333 0.542
Os1 0.000 0.000 0.473
Os2 0.333 0.667 0.139
Os3 0.667 0.333 0.806
Rh1 0.000 0.000 0.735
Rh2 0.333 0.667 0.402
Rh3 0.667 0.333 0.069

Calculated values
Density of states at the Fermi level, states/eV/f.u.: 5.8
SG: R3m

---

Entry S
VASP calculation (SCAN) on a PBEsol-optimized structure of Sb2OsRh.

Lattice parameters (Å, degrees): 8.285 3.191 5.476 90.00 102.64 90.00
Fractional positions:
Sb1 0.248 0.000 0.247
Sb2 0.252 0.500 0.753
Sb3 0.748 0.500 0.247
Sb4 0.752 0.000 0.753
Os1 0.000 0.500 0.000
Os2 0.500 0.000 0.000
Rh1 0.000 0.000 0.500
Rh2 0.500 0.500 0.500

Calculated values
Density of states at the Fermi level, states/eV/f.u.: 2.7
SG: C2/m

---

The energy of each structure relative to the most stable one, in meV per atom, is as follows: entry P 267; entry Q 0; entry R 320; entry S 138.

---

Entry P
VASP calculation (SCAN) on a PBEsol-optimized structure of ScOs2Rh.

Lattice parameters (Å, degrees): 3.781 3.781 4.140 90.00 90.00 90.00
Fractional positions:
Sc1 0.000 0.000 0.000
Os1 0.000 0.500 0.500
Os2 0.500 0.000 0.500
Rh1 0.500 0.500 0.000

Calculated values
Density of states at the Fermi level, states/eV/f.u.: 3.6
SG: P4/mmm

---

Entry Q
VASP calculation (SCAN) on a PBEsol-optimized structure of ScOs2Rh.

Lattice parameters (Å, degrees): 6.208 6.208 6.208 90.00 90.00 90.00
Fractional positions:
Sc1 0.000 0.000 0.000
Sc2 0.000 0.500 0.500
Sc3 0.500 0.000 0.500
Sc4 0.500 0.500 0.000
Os1 0.000 0.000 0.500
Os2 0.000 0.500 0.000
Os3 0.250 0.250 0.750
Os4 0.250 0.750 0.250
Os5 0.500 0.000 0.000
Os6 0.500 0.500 0.500
Os7 0.750 0.250 0.250
Os8 0.750 0.750 0.750
Rh1 0.250 0.250 0.250
Rh2 0.250 0.750 0.750
Rh3 0.750 0.250 0.750
Rh4 0.750 0.750 0.250

Calculated values
Density of states at the Fermi level, states/eV/f.u.: 6.6
SG: F-43m

---

The energy of each structure relative to the most stable one, in meV per atom, is as follows: entry P 0; entry Q 211.

---

Entry P
VASP calculation (SCAN) on a PBEsol-optimized structure of OsRhSe2.

Lattice parameters (Å, degrees): 2.972 4.422 9.458 90.00 90.00 90.00
Fractional positions:
Os1 0.000 0.000 0.000
Os2 0.500 0.500 0.500
Rh1 0.000 0.500 0.770
Rh2 0.500 0.000 0.270
Se1 0.000 0.000 0.503
Se2 0.000 0.500 0.286
Se3 0.500 0.000 0.786
Se4 0.500 0.500 0.003

Calculated values
Density of states at the Fermi level, states/eV/f.u.: 2.9
SG: Imm2

---

Entry Q
VASP calculation (SCAN) on a PBEsol-optimized structure of OsRhSe2.

Lattice parameters (Å, degrees): 3.019 3.019 23.231 90.00 90.00 120.00
Fractional positions:
Os1 0.000 0.000 0.000
Os2 0.333 0.667 0.667
Os3 0.667 0.333 0.333
Rh1 0.000 0.000 0.500
Rh2 0.333 0.667 0.167
Rh3 0.667 0.333 0.833
Se1 0.000 0.000 0.251
Se2 0.000 0.000 0.749
Se3 0.333 0.667 0.416
Se4 0.333 0.667 0.917
Se5 0.667 0.333 0.083
Se6 0.667 0.333 0.584

Calculated values
Density of states at the Fermi level, states/eV/f.u.: 3.4
SG: R-3m

---

The energy of each structure relative to the most stable one, in meV per atom, is as follows: entry P 141; entry Q 0.

---

Entry P
VASP calculation (SCAN) on a PBEsol-optimized structure of OsRhSe.

Lattice parameters (Å, degrees): 2.766 4.766 13.654 90.00 90.00 90.00
Fractional positions:
Os1 0.000 0.000 0.000
Os2 0.000 0.500 0.500
Os3 0.500 0.000 0.500
Os4 0.500 0.500 0.000
Rh1 0.000 0.000 0.660
Rh2 0.000 0.500 0.160
Rh3 0.500 0.000 0.160
Rh4 0.500 0.500 0.660
Se1 0.000 0.000 0.331
Se2 0.000 0.500 0.831
Se3 0.500 0.000 0.831
Se4 0.500 0.500 0.331

Calculated values
Density of states at the Fermi level, states/eV/f.u.: 3.1
SG: Fmm2

---

Entry Q
VASP calculation (SCAN) on a PBEsol-optimized structure of OsRhSe.

Lattice parameters (Å, degrees): 5.871 5.871 5.871 90.00 90.00 90.00
Fractional positions:
Os1 0.000 0.000 0.000
Os2 0.000 0.500 0.500
Os3 0.500 0.000 0.500
Os4 0.500 0.500 0.000
Rh1 0.250 0.250 0.750
Rh2 0.250 0.750 0.250
Rh3 0.750 0.250 0.250
Rh4 0.750 0.750 0.750
Se1 0.250 0.250 0.250
Se2 0.250 0.750 0.750
Se3 0.750 0.250 0.750
Se4 0.750 0.750 0.250

Calculated values
Density of states at the Fermi level, states/eV/f.u.: 1.8
SG: F-43m

---

The energy of each structure relative to the most stable one, in meV per atom, is as follows: entry P 383; entry Q 0.

---

Entry P
VASP calculation (SCAN) on a PBEsol-optimized structure of Sr2OsRh.

Lattice parameters (Å, degrees): 7.064 7.064 7.064 90.00 90.00 90.00
Fractional positions:
Sr1 0.250 0.250 0.250
Sr2 0.250 0.250 0.750
Sr3 0.250 0.750 0.250
Sr4 0.250 0.750 0.750
Sr5 0.750 0.250 0.250
Sr6 0.750 0.250 0.750
Sr7 0.750 0.750 0.250
Sr8 0.750 0.750 0.750
Os1 0.000 0.000 0.000
Os2 0.000 0.500 0.500
Os3 0.500 0.000 0.500
Os4 0.500 0.500 0.000
Rh1 0.000 0.000 0.500
Rh2 0.000 0.500 0.000
Rh3 0.500 0.000 0.000
Rh4 0.500 0.500 0.500

Calculated values
Density of states at the Fermi level, states/eV/f.u.: 5.7
SG: Fm-3m

---

Entry Q
VASP calculation (SCAN) on a PBEsol-optimized structure of Sr2OsRh.

Lattice parameters (Å, degrees): 9.359 3.006 6.076 90.00 96.46 90.00
Fractional positions:
Sr1 0.249 0.000 0.246
Sr2 0.251 0.500 0.754
Sr3 0.749 0.500 0.246
Sr4 0.751 0.000 0.754
Os1 0.000 0.000 0.500
Os2 0.500 0.500 0.500
Rh1 0.000 0.500 0.000
Rh2 0.500 0.000 0.000

Calculated values
Density of states at the Fermi level, states/eV/f.u.: 2.0
SG: C2/m

---

The energy of each structure relative to the most stable one, in meV per atom, is as follows: entry P 0; entry Q 120.

---

Entry P
VASP calculation (SCAN) on a PBEsol-optimized structure of SrOs2Rh.

Lattice parameters (Å, degrees): 2.763 4.632 10.564 90.00 90.00 90.00
Fractional positions:
Sr1 0.000 0.000 0.000
Sr2 0.500 0.500 0.500
Os1 0.000 0.500 0.218
Os2 0.000 0.500 0.782
Os3 0.500 0.000 0.282
Os4 0.500 0.000 0.718
Rh1 0.000 0.000 0.500
Rh2 0.500 0.500 0.000

Calculated values
Density of states at the Fermi level, states/eV/f.u.: 3.3
SG: Immm

---

Entry Q
VASP calculation (SCAN) on a PBEsol-optimized structure of SrOs2Rh.

Lattice parameters (Å, degrees): 3.913 3.913 8.808 90.00 90.00 90.00
Fractional positions:
Sr1 0.000 0.000 0.000
Sr2 0.500 0.500 0.500
Os1 0.000 0.500 0.250
Os2 0.000 0.500 0.750
Os3 0.500 0.000 0.250
Os4 0.500 0.000 0.750
Rh1 0.000 0.000 0.500
Rh2 0.500 0.500 0.000

Calculated values
Density of states at the Fermi level, states/eV/f.u.: 4.3
SG: I4/mmm

---

The energy of each structure relative to the most stable one, in meV per atom, is as follows: entry P 0; entry Q 497.

---

Entry P
VASP calculation (SCAN) on a PBEsol-optimized structure of Tc2OsRh.

Lattice parameters (Å, degrees): 2.709 4.302 4.717 90.00 90.00 90.00
Fractional positions:
Tc1 0.000 0.000 0.000
Tc2 0.000 0.500 0.330
Os1 0.500 0.500 0.831
Rh1 0.500 0.000 0.491

Calculated values
Density of states at the Fermi level, states/eV/f.u.: 2.5
SG: Pmm2

---

Entry Q
VASP calculation (SCAN) on a PBEsol-optimized structure of Tc2OsRh.

Lattice parameters (Å, degrees): 3.828 3.828 7.533 90.00 90.00 90.00
Fractional positions:
Tc1 0.000 0.000 0.000
Tc2 0.000 0.500 0.250
Tc3 0.500 0.000 0.750
Tc4 0.500 0.500 0.500
Os1 0.000 0.000 0.500
Os2 0.500 0.500 0.000
Rh1 0.000 0.500 0.750
Rh2 0.500 0.000 0.250

Calculated values
Density of states at the Fermi level, states/eV/f.u.: 3.6
SG: I-4m2

---

The energy of each structure relative to the most stable one, in meV per atom, is as follows: entry P 0; entry Q 150.

---

Entry P
VASP calculation (SCAN) on a PBEsol-optimized structure of TcOs2Rh.

Lattice parameters (Å, degrees): 3.809 3.809 3.803 90.00 90.00 90.00
Fractional positions:
Tc1 0.000 0.000 0.000
Os1 0.000 0.500 0.500
Os2 0.500 0.000 0.500
Rh1 0.500 0.500 0.000

Calculated values
Density of states at the Fermi level, states/eV/f.u.: 3.7
SG: P4/mmm

---

Entry Q
VASP calculation (SCAN) on a PBEsol-optimized structure of TcOs2Rh.

Lattice parameters (Å, degrees): 5.388 7.613 2.694 90.00 90.00 90.00
Fractional positions:
Tc1 0.000 0.000 0.000
Tc2 0.500 0.500 0.000
Os1 0.250 0.250 0.500
Os2 0.250 0.750 0.500
Os3 0.750 0.250 0.500
Os4 0.750 0.750 0.500
Rh1 0.000 0.500 0.000
Rh2 0.500 0.000 0.000

Calculated values
Density of states at the Fermi level, states/eV/f.u.: 3.8
SG: Cmmm

---

The energy of each structure relative to the most stable one, in meV per atom, is as follows: entry P 0; entry Q 40.

---

Entry P
VASP calculation (SCAN) on a PBEsol-optimized structure of Os2RhW.

Lattice parameters (Å, degrees): 3.845 3.845 3.834 90.00 90.00 90.00
Fractional positions:
Os1 0.000 0.500 0.000
Os2 0.500 0.000 0.000
Rh1 0.000 0.000 0.500
W1 0.500 0.500 0.500

Calculated values
Density of states at the Fermi level, states/eV/f.u.: 2.8
SG: P4/mmm

---

Entry Q
VASP calculation (SCAN) on a PBEsol-optimized structure of Os2RhW.

Lattice parameters (Å, degrees): 8.981 2.724 4.739 90.00 100.24 90.00
Fractional positions:
Os1 0.249 0.000 0.258
Os2 0.251 0.500 0.742
Os3 0.749 0.500 0.258
Os4 0.751 0.000 0.742
Rh1 0.000 0.000 0.500
Rh2 0.500 0.500 0.500
W1 0.000 0.500 0.000
W2 0.500 0.000 0.000

Calculated values
Density of states at the Fermi level, states/eV/f.u.: 2.7
SG: C2/m

---

Entry R
VASP calculation (SCAN) on a PBEsol-optimized structure of Os2RhW.

Lattice parameters (Å, degrees): 3.255 3.255 5.492 90.00 90.00 90.00
Fractional positions:
Os1 0.000 0.000 0.000
Os2 0.500 0.500 0.250
Rh1 0.000 0.000 0.493
W1 0.500 0.500 0.737

Calculated values
Density of states at the Fermi level, states/eV/f.u.: 3.3
SG: P4mm

---

The energy of each structure relative to the most stable one, in meV per atom, is as follows: entry P 0; entry Q 136; entry R 503.

---

Entry P
VASP calculation (SCAN) on a PBEsol-optimized structure of YOs2Rh.

Lattice parameters (Å, degrees): 2.939 4.547 4.797 90.00 90.00 90.00
Fractional positions:
Y1 0.000 0.000 0.000
Os1 0.000 0.500 0.500
Os2 0.500 0.000 0.500
Rh1 0.500 0.500 0.000

Calculated values
Density of states at the Fermi level, states/eV/f.u.: 4.2
SG: Pmmm

---

Entry Q
VASP calculation (SCAN) on a PBEsol-optimized structure of YOs2Rh.

Lattice parameters (Å, degrees): 2.807 2.807 8.150 90.00 90.00 90.00
Fractional positions:
Y1 0.000 0.000 0.000
Os1 0.500 0.500 0.282
Os2 0.500 0.500 0.718
Rh1 0.000 0.000 0.500

Calculated values
Density of states at the Fermi level, states/eV/f.u.: 4.1
SG: P4/mmm

---

Entry R
VASP calculation (SCAN) on a PBEsol-optimized structure of YOs2Rh.

Lattice parameters (Å, degrees): 2.861 4.774 4.812 90.00 97.93 90.00
Fractional positions:
Y1 0.000 0.000 0.000
Os1 0.316 0.500 0.733
Os2 0.684 0.500 0.267
Rh1 0.500 0.000 0.500

Calculated values
Density of states at the Fermi level, states/eV/f.u.: 5.0
SG: P2/m

---

The energy of each structure relative to the most stable one, in meV per atom, is as follows: entry P 0; entry Q 121; entry R 52.

---

Entry P
VASP calculation (SCAN) on a PBEsol-optimized structure of YOsRh.

Lattice parameters (Å, degrees): 2.875 2.875 7.057 90.00 90.00 120.00
Fractional positions:
Y1 0.000 0.000 0.000
Os1 0.333 0.667 0.639
Rh1 0.667 0.333 0.348

Calculated values
Density of states at the Fermi level, states/eV/f.u.: 4.3
SG: P3m1

---

Entry Q
VASP calculation (SCAN) on a PBEsol-optimized structure of YOsRh.

Lattice parameters (Å, degrees): 4.444 4.444 3.109 90.00 90.00 120.00
Fractional positions:
Y1 0.000 0.000 0.000
Os1 0.333 0.667 0.500
Rh1 0.667 0.333 0.500

Calculated values
Density of states at the Fermi level, states/eV/f.u.: 3.4
SG: P-6m2

---

The energy of each structure relative to the most stable one, in meV per atom, is as follows: entry P 589; entry Q 0.